# ZrSc2Br

Crystalline ZrSc2Br at its relaxed geometry (PBE, the Alexandria database).

Structure (POSCAR):
```
ZrSc2Br
1.0
5.5631 -0.0013 -0.0055
4.5815 3.1556 -0.0055
1.7709 0.5506 5.1595
Br Sc Zr
1 2 1
Cartesian
8.9365 2.7787 3.8614
1.9301 0.6001 5.1038
5.7984 1.8030 2.6300
2.9788 0.9262 1.2871
```

## Properties
relative energy among the computed polymorphs	334	meV/atom
crystal system	monoclinic
uncorrected formation energy	-0.126	eV/atom
symmetry	C2/m, No. 12

# Ti5Mn2Zn2Co

Crystalline Ti5Mn2Zn2Co at its relaxed geometry (PBE, the Alexandria database).

Structure (POSCAR):
```
Ti5Mn2Zn2Co
1.0
-1.4034 2.6526 -0.0833
-8.5247 -4.5902 -2.5515
-2.3819 -0.9561 9.6779
Ti Mn Zn Co
10 4 4 2
Cartesian
-2.5339 0.3641 0.1837
-9.7760 -3.2577 6.8594
-3.2559 0.2140 7.5676
-7.6324 -2.2667 2.3056
-9.0540 -3.1077 -0.5245
-4.6775 -0.6270 4.7375
-7.2521 -1.9742 5.2103
-5.0578 -0.9194 1.8328
-4.9640 -0.9688 -1.3174
-1.8926 0.8482 4.7973
-2.6162 -1.2028 5.7702
-8.2903 -4.3434 1.3562
-7.4469 -3.7261 6.8041
-3.4596 -1.8202 0.3224
-6.1337 -3.2467 -0.0530
-4.7728 -2.2995 7.1794
-2.2449 -1.1016 2.7406
-8.6616 -4.4447 4.3858
0.0000 0.0000 0.0000
-5.4533 -2.7731 3.5632
```

## Properties
crystal system	tetragonal
raw total energy	-6.78	eV/atom
symmetry	P4/mbm, No. 127

Calculated V (Å³/atom), listed in the same order as above: 22.7; 15.0